{"formula": "NaZrSb", "functional": "PBE-GGA", "state": "relaxed", "formation_energy_uncorrected_mev_per_atom": -258.8, "crystal_system": "trigonal", "lattice_angstrom": [[-4.677, 0.138, -0.611], [-2.579, -3.898, 0.645], [-3.433, 0.780, 8.244]], "species": ["Sb", "Sb", "Na", "Na", "Zr", "Zr"], "fractional_positions": [[0.587, 0.587, 0.240], [0.413, 0.413, 0.760], [0.864, 0.864, 0.407], [0.136, 0.136, 0.593], [0.703, 0.703, 0.890], [0.297, 0.297, 0.110]]}